Density functional theory data (PBE) for Ga2Ag2Pd after structural relaxation.

Cell: 6.7609 6.7609 3.7500 Å, 90.00 90.00 90.00°
Last column: nearest neighbours and their distance in Å.
Fractional coordinates of all 10 atoms:
Ga1 0.3567 0.8567 0.0000  2 Pd 2.60, 6 Ag 2.66-2.77, 1 Ga 2.74
Ga2 0.8567 0.6433 0.0000  2 Pd 2.60, 6 Ag 2.66-2.77, 1 Ga 2.74
Ga3 0.6433 0.1433 0.0000  2 Pd 2.60, 6 Ag 2.66-2.77, 1 Ga 2.74
Ga4 0.1433 0.3567 0.0000  2 Pd 2.60, 6 Ag 2.66-2.77, 1 Ga 2.74
Pd1 0.0000 0.0000 0.0000  4 Ga 2.60
Pd2 0.5000 0.5000 0.0000  4 Ga 2.60
Ag1 0.1588 0.6588 0.5000  6 Ga 2.66-2.77
Ag2 0.6588 0.8412 0.5000  6 Ga 2.66-2.77
Ag3 0.8412 0.3412 0.5000  6 Ga 2.66-2.77
Ag4 0.3412 0.1588 0.5000  6 Ga 2.66-2.77

Properties
- SG = No. 127
- ΔE_f (eV per atom) = -0.1097
- ρ (g/cm³) = 8.94
- Fermi-level density of states (states/eV/cell) = 3.4